[1]
Ba2InSi GGA-PBE optimized geometry; raw formation energy = -0.043 eV/atom; SG = Pmm2; energy = -3.04 eV/atom; magnetization = 0.0 μB/f.u.
1.0
3.895 0.000 0.000
0.000 3.936 0.000
0.000 0.000 9.827
Ba In Si
2 1 1
direct
0.000 0.000 0.000 Ba
0.500 0.500 0.412 Ba
0.000 0.000 0.653 In
0.500 0.500 0.774 Si

=====

[2]
BaIn2Si GGA-PBE optimized geometry; raw formation energy = -0.038 eV/atom; SG = P4/mmm; energy = -3.24 eV/atom; magnetization = 0.0 μB/f.u.
1.0
4.742 0.000 0.000
0.000 4.742 0.000
0.000 0.000 5.097
Ba In Si
1 2 1
direct
0.000 0.000 0.000 Ba
0.000 0.500 0.500 In
0.500 0.000 0.500 In
0.500 0.500 0.000 Si

=====

[3]
BaIn2SiTc GGA-PBE optimized geometry; raw formation energy = 0.978 eV/atom; SG = P4/mmm; energy = -3.66 eV/atom; magnetization = 3.1 μB/f.u.
1.0
5.182 0.000 0.000
0.000 5.182 0.000
0.000 0.000 6.065
Ba In Si Tc
1 2 1 1
direct
0.000 0.000 0.000 Ba
0.000 0.500 0.500 In
0.500 0.000 0.500 In
0.000 0.000 0.500 Si
0.500 0.500 0.000 Tc

=====

[4]
BaInSi2Te8 GGA-PBE optimized geometry; raw formation energy = -0.265 eV/atom; SG = P-3; energy = -3.65 eV/atom; magnetization = 0.0 μB/f.u.
1.0
6.601 0.000 0.000
-3.301 5.717 0.000
0.000 0.000 10.748
Ba In Si Te
1 1 2 8
direct
0.000 0.000 0.000 Ba
0.000 0.000 0.500 In
0.333 0.667 0.762 Si
0.667 0.333 0.238 Si
0.049 0.701 0.306 Te
0.299 0.349 0.306 Te
0.333 0.667 0.995 Te
0.349 0.049 0.694 Te
0.651 0.951 0.306 Te
0.667 0.333 0.005 Te
0.701 0.651 0.694 Te
0.951 0.299 0.694 Te

=====

[5]
Ba2Zn4InSi3 GGA-PBE optimized geometry; raw formation energy = -0.268 eV/atom; SG = P-4m2; energy = -3.06 eV/atom; magnetization = 0.0 μB/f.u.
1.0
4.502 0.000 0.000
0.000 4.502 0.000
0.000 0.000 10.893
Ba Zn In Si
2 4 1 3
direct
0.000 0.500 0.237 Ba
0.500 0.000 0.763 Ba
0.000 0.000 0.000 Zn
0.000 0.500 0.643 Zn
0.500 0.000 0.357 Zn
0.500 0.500 0.000 Zn
0.000 0.000 0.500 In
0.000 0.500 0.876 Si
0.500 0.000 0.124 Si
0.500 0.500 0.500 Si

=====

[6]
BaSmIn GGA-PBE optimized geometry; energy of formation from the pure elements = -0.23 eV/atom; SG = C2/m; energy = -3.36 eV/atom; energy relative to the lowest polymorph listed for this composition = 0.084 eV/atom; magnetization = 0.0 μB/f.u.
1.0
4.694 -2.713 0.000
4.694 2.713 0.000
-0.007 0.000 9.236
Ba Sm In
2 2 2
direct
0.167 0.167 0.357 Ba
0.833 0.833 0.643 Ba
0.167 0.167 0.914 Sm
0.833 0.833 0.086 Sm
0.500 0.500 0.165 In
0.500 0.500 0.835 In

=====

[7]
BaSmIn4 GGA-PBE optimized geometry; energy of formation from the pure elements = -0.36 eV/atom; SG = F-43m; energy = -3.29 eV/atom; magnetization = 0.0 μB/f.u.
1.0
0.000 4.420 4.420
4.420 0.000 4.420
4.420 4.420 0.000
Ba Sm In
1 1 4
direct
0.000 0.000 0.000 Ba
0.750 0.750 0.750 Sm
0.375 0.375 0.375 In
0.375 0.375 0.874 In
0.375 0.874 0.375 In
0.874 0.375 0.375 In

=====

[8]
BaSm2In GGA-PBE optimized geometry; energy of formation from the pure elements = 0.00 eV/atom; SG = R3m; energy = -3.53 eV/atom; energy relative to the lowest polymorph listed for this composition = 0.112 eV/atom; magnetization = 0.0 μB/f.u.
1.0
2.663 1.538 6.429
-2.663 1.538 6.429
0.000 -3.075 6.429
Ba Sm In
1 2 1
direct
0.000 0.000 0.000 Ba
0.552 0.552 0.552 Sm
0.789 0.789 0.789 Sm
0.192 0.192 0.192 In

=====

[9]
BaSm2In GGA-PBE optimized geometry; energy of formation from the pure elements = 0.06 eV/atom; SG = R-3m; energy = -3.46 eV/atom; energy relative to the lowest polymorph listed for this composition = 0.175 eV/atom; magnetization = 0.0 μB/f.u.
1.0
1.881 1.086 12.211
-1.881 1.086 12.211
0.000 -2.172 12.211
Ba Sm In
1 2 1
direct
0.000 0.000 0.000 Ba
0.101 0.101 0.101 Sm
0.899 0.899 0.899 Sm
0.500 0.500 0.500 In

=====

[10]
BaSm2In GGA-PBE optimized geometry; energy of formation from the pure elements = -0.11 eV/atom; SG = P4/mmm; energy = -3.64 eV/atom; energy relative to the lowest polymorph listed for this composition = 0.000 eV/atom; magnetization = 0.0 μB/f.u.
1.0
3.760 0.000 0.000
0.000 3.760 0.000
0.000 0.000 10.262
Ba Sm In
1 2 1
direct
0.000 0.000 0.000 Ba
0.500 0.500 0.306 Sm
0.500 0.500 0.694 Sm
0.000 0.000 0.500 In

=====

[11]
BaSm2In GGA-PBE optimized geometry; energy of formation from the pure elements = -0.07 eV/atom; SG = P4/mmm; energy = -3.59 eV/atom; energy relative to the lowest polymorph listed for this composition = 0.045 eV/atom; magnetization = 0.0 μB/f.u.
1.0
5.166 0.000 0.000
0.000 5.166 0.000
0.000 0.000 5.070
Ba Sm In
1 2 1
direct
0.000 0.000 0.000 Ba
0.000 0.500 0.500 Sm
0.500 0.000 0.500 Sm
0.500 0.500 0.000 In

=====

[12]
BaSmIn GGA-PBE optimized geometry; energy of formation from the pure elements = -0.26 eV/atom; SG = I4/mmm; energy = -3.39 eV/atom; energy relative to the lowest polymorph listed for this composition = 0.053 eV/atom; magnetization = 0.6 μB/f.u.
1.0
-2.037 2.037 14.264
2.037 -2.037 14.264
2.037 2.037 -14.264
Ba Sm In
2 2 2
direct
0.076 0.076 0.000 Ba
0.924 0.924 0.000 Ba
0.212 0.212 0.000 Sm
0.788 0.788 0.000 Sm
0.343 0.343 0.000 In
0.657 0.657 0.000 In

=====

[13]
BaSmIn GGA-PBE optimized geometry; energy of formation from the pure elements = -0.20 eV/atom; SG = I4mm; energy = -3.33 eV/atom; energy relative to the lowest polymorph listed for this composition = 0.111 eV/atom; magnetization = 0.0 μB/f.u.
1.0
-2.032 2.032 6.966
2.032 -2.032 6.966
2.032 2.032 -6.966
Ba Sm In
1 1 1
direct
0.000 0.000 0.000 Ba
0.277 0.277 0.000 Sm
0.672 0.672 0.000 In

=====

[14]
BaSmIn GGA-PBE optimized geometry; energy of formation from the pure elements = -0.31 eV/atom; SG = P4/nmm; energy = -3.44 eV/atom; energy relative to the lowest polymorph listed for this composition = 0.000 eV/atom; magnetization = 0.0 μB/f.u.
1.0
5.286 0.000 0.000
0.000 5.286 0.000
0.000 0.000 8.440
Ba Sm In
2 2 2
direct
0.250 0.250 0.141 Ba
0.750 0.750 0.859 Ba
0.250 0.750 0.500 Sm
0.750 0.250 0.500 Sm
0.250 0.250 0.722 In
0.750 0.750 0.278 In

=====

[15]
BaSmIn GGA-PBE optimized geometry; energy of formation from the pure elements = -0.13 eV/atom; SG = P3m1; energy = -3.26 eV/atom; energy relative to the lowest polymorph listed for this composition = 0.185 eV/atom; magnetization = 0.0 μB/f.u.
1.0
5.617 0.000 0.000
-2.809 4.865 0.000
0.000 0.000 3.956
Ba Sm In
1 1 1
direct
0.000 0.000 0.000 Ba
0.333 0.667 0.428 Sm
0.667 0.333 0.574 In

=====

[16]
Ba2SmInTe5 GGA-PBE optimized geometry; raw formation energy = -1.309 eV/atom; SG = Cmc2_1; energy = -4.31 eV/atom; magnetization = 0.0 μB/f.u.
1.0
2.308 -10.340 0.000
2.308 10.340 0.000
0.000 0.000 14.313
Ba Sm In Te
4 2 2 10
direct
0.119 0.881 0.500 Ba
0.129 0.871 0.134 Ba
0.871 0.129 0.634 Ba
0.881 0.119 0.000 Ba
0.210 0.790 0.836 Sm
0.790 0.210 0.336 Sm
0.443 0.557 0.255 In
0.557 0.443 0.755 In
0.050 0.950 0.873 Te
0.292 0.708 0.482 Te
0.311 0.689 0.181 Te
0.357 0.643 0.819 Te
0.497 0.503 0.582 Te
0.503 0.497 0.082 Te
0.643 0.357 0.319 Te
0.689 0.311 0.681 Te
0.708 0.292 0.982 Te
0.950 0.050 0.373 Te

=====

[17]
BaSmIn2Te4 GGA-PBE optimized geometry; raw formation energy = -0.941 eV/atom; SG = P2/m; energy = -4.03 eV/atom; magnetization = 0.0 μB/f.u.
1.0
8.133 0.000 0.000
0.000 4.595 0.000
-2.614 0.000 7.891
Ba Sm In Te
1 1 2 4
direct
0.000 0.000 0.000 Ba
0.000 0.500 0.500 Sm
0.500 0.000 0.500 In
0.500 0.500 0.000 In
0.239 0.000 0.718 Te
0.256 0.500 0.283 Te
0.744 0.500 0.717 Te
0.761 0.000 0.282 Te

=====

[18]
BaSmZnIn GGA-PBE optimized geometry; energy of formation from the pure elements = -0.21 eV/atom; SG = F-43m; energy = -2.88 eV/atom; magnetization = 0.0 μB/f.u.
1.0
0.000 3.978 3.978
3.978 0.000 3.978
3.978 3.978 0.000
Ba Sm Zn In
1 1 1 1
direct
0.000 0.000 0.000 Ba
0.500 0.500 0.500 Sm
0.750 0.750 0.750 Zn
0.250 0.250 0.250 In

=====

[19]
Ba2In2Sn GGA-PBE optimized geometry; energy of formation from the pure elements = -0.42 eV/atom; SG = P4/mbm; energy = -3.08 eV/atom; energy relative to the lowest polymorph listed for this composition = 0.074 eV/atom; magnetization = 0.0 μB/f.u.
1.0
8.152 0.000 0.000
0.000 8.152 0.000
0.000 0.000 5.486
Ba In Sn
4 4 2
direct
0.179 0.321 0.000 Ba
0.321 0.821 0.000 Ba
0.679 0.179 0.000 Ba
0.821 0.679 0.000 Ba
0.128 0.628 0.500 In
0.372 0.128 0.500 In
0.628 0.872 0.500 In
0.872 0.372 0.500 In
0.000 0.000 0.500 Sn
0.500 0.500 0.500 Sn

=====

[20]
Ba3In4Sn7 GGA-PBE optimized geometry; energy of formation from the pure elements = -0.36 eV/atom; SG = C2/m; energy = -3.55 eV/atom; magnetization = 0.0 μB/f.u.
1.0
9.430 -2.616 0.000
9.430 2.616 0.000
-6.522 0.000 9.056
Ba In Sn
3 4 7
direct
0.000 0.000 0.000 Ba
0.313 0.313 0.313 Ba
0.687 0.687 0.687 Ba
0.144 0.144 0.419 In
0.328 0.328 0.968 In
0.672 0.672 0.032 In
0.856 0.856 0.581 In
0.000 0.000 0.500 Sn
0.134 0.134 0.864 Sn
0.338 0.338 0.708 Sn
0.499 0.499 0.289 Sn
0.501 0.501 0.711 Sn
0.662 0.662 0.292 Sn
0.866 0.866 0.136 Sn